First-principles (PBE) data for a relaxed La2Si2Mo crystal, as listed in the Alexandria database.

Calculated values
* total DFT energy (no corrections): -5.798 eV per atom
* energy relative to the lowest polymorph listed for this composition: 849.8 meV per atom
* volume: 22.76 Å³/atom
* space group: I4/mmm, No. 139
* total magnetization: 1.31 μB per formula unit
* uncorrected formation energy: 0.508 eV per atom

a = 4.1558 Å, b = 4.1558 Å, c = 7.2150 Å
α = 73.26°, β = 73.26°, γ = 90.00°
Element x y z (fractional)
1 Mo 0.0000 0.0000 0.0000
2 Si 0.4164 0.4164 0.1671
3 Si 0.5836 0.5836 0.8329
4 La 0.7500 0.2500 0.5000
5 La 0.2500 0.7500 0.5000

First-principles (PBE) data for a relaxed Y8AsSe6 crystal, as listed in the Alexandria database.

Calculated values
* total DFT energy (no corrections): -6.500 eV per atom
* volume: 25.45 Å³/atom
* space group: P-3, No. 147
* total magnetization: 0.00 μB per formula unit
* uncorrected formation energy: -1.349 eV per atom

a = 4.1071 Å, b = 10.3592 Å, c = 10.3592 Å
α = 120.00°, β = 90.00°, γ = 90.00°
Element x y z (fractional)
1 Y 0.7401 0.9694 0.2767
2 Y 0.7401 0.7233 0.6927
3 Y 0.7401 0.3073 0.0306
4 Y 0.2599 0.0306 0.7233
5 Y 0.2599 0.2767 0.3073
6 Y 0.2599 0.6927 0.9694
7 Y 0.7455 0.3333 0.6667
8 Y 0.2545 0.6667 0.3333
9 As 0.5000 0.0000 0.0000
10 Se 0.7541 0.6502 0.1288
11 Se 0.7541 0.8712 0.5214
12 Se 0.7541 0.4786 0.3498
13 Se 0.2459 0.3498 0.8712
14 Se 0.2459 0.1288 0.4786
15 Se 0.2459 0.5214 0.6502